Density functional theory data (PBE-GGA) for LaSm4Y8 after structural relaxation.

ΔH_f (0 K) = 0.514 eV/atom

abc: 7.858 7.858 7.858
angles: 90.00 90.00 90.00
Fractional positions:
1 La 0.000 0.000 0.000
2 Sm 0.000 0.000 0.500
3 Sm 0.000 0.500 0.000
4 Sm 0.500 0.000 0.000
5 Sm 0.500 0.500 0.500
6 Y 0.261 0.261 0.261
7 Y 0.261 0.261 0.739
8 Y 0.261 0.739 0.261
9 Y 0.261 0.739 0.739
10 Y 0.739 0.261 0.261
11 Y 0.739 0.261 0.739
12 Y 0.739 0.739 0.261
13 Y 0.739 0.739 0.739

Density functional theory data (PBE-GGA) for LaSm6Y2 after structural relaxation.

ΔH_f (0 K) = 0.184 eV/atom

abc: 6.176 6.176 15.521
angles: 101.96 101.96 32.63
Fractional positions:
1 La 0.000 0.000 0.000
2 Sm 0.039 0.039 0.232
3 Sm 0.294 0.294 0.106
4 Sm 0.373 0.373 0.563
5 Sm 0.627 0.627 0.437
6 Sm 0.706 0.706 0.894
7 Sm 0.961 0.961 0.768
8 Y 0.332 0.332 0.334
9 Y 0.668 0.668 0.666

Density functional theory data (PBE-GGA) for La7Sm3Y after structural relaxation.

ΔH_f (0 K) = 0.163 eV/atom
energy above the most stable polymorph in this dataset = 0 meV per atom

abc: 7.315 7.315 8.798
angles: 90.00 90.00 120.00
Fractional positions:
1 La 0.000 0.000 0.000
2 La 0.003 0.502 0.023
3 La 0.168 0.336 0.670
4 La 0.168 0.832 0.670
5 La 0.498 0.502 0.023
6 La 0.498 0.997 0.023
7 La 0.664 0.832 0.670
8 Sm 0.333 0.167 0.347
9 Sm 0.833 0.167 0.347
10 Sm 0.833 0.667 0.347
11 Y 0.667 0.333 0.687